# HfTl3V (PBE, optimized geometry)
# Total moment: 0.9 μB/cell
# DOS at the Fermi energy: 7.3 states/eV/cell
# Energy above the lowest structure with this stoichiometry: 0.0000 eV per atom
data_HfTl3V
_chemical_formula_sum 'Hf1 Tl3 V1'
_space_group_name_H-M_alt 'P m -3 m'
_space_group_IT_number 221
_space_group_name_Hall '-P 4 2 3'
_cell_length_a 5.171
_cell_length_b 5.171
_cell_length_c 5.171
_cell_angle_alpha 90.00
_cell_angle_beta 90.00
_cell_angle_gamma 90.00
loop_
_atom_site_label
_atom_site_fract_x
_atom_site_fract_y
_atom_site_fract_z
Hf1 0.000 0.000 0.000
Tl1 0.000 0.500 0.500
V1 0.500 0.500 0.500